a | A relaxed structure of Pr5In2Ru. Source: Alexandria, functional PBE.

Results
Symmetry: I4mm, No. 107
Size of the total moment in μB per cell: 0.00
ρ in Mg/m³: 7.105

Cell: 7.2610 7.2610 9.1778 Å, 90.00 90.00 90.00°
Element x y z (fractional)
Pr (0.0000, 0.0000, 0.0000)
Pr (0.2474, 0.2474, 0.2716)
Pr (0.2474, 0.7526, 0.2716)
Pr (0.2526, 0.2526, 0.7716)
Pr (0.2526, 0.7474, 0.7716)
Pr (0.5000, 0.5000, 0.5000)
Pr (0.7474, 0.2526, 0.7716)
Pr (0.7474, 0.7474, 0.7716)
Pr (0.7526, 0.2474, 0.2716)
Pr (0.7526, 0.7526, 0.2716)
In (0.0000, 0.5000, 0.0272)
In (0.0000, 0.5000, 0.5272)
In (0.5000, 0.0000, 0.0272)
In (0.5000, 0.0000, 0.5272)
Ru (0.0000, 0.0000, 0.6480)
Ru (0.5000, 0.5000, 0.1480)

---

b | A relaxed structure of Pr5In2Ru. Source: Alexandria, functional PBE.

Results
Symmetry: Pbam, No. 55
Size of the total moment in μB per cell: 0.00
ρ in Mg/m³: 6.967

Cell: 8.1080 12.5399 4.8535 Å, 90.00 90.00 90.00°
Element x y z (fractional)
Pr (0.0000, 0.0000, 0.0000)
Pr (0.1374, 0.2982, 0.0000)
Pr (0.1842, 0.5697, 0.5000)
Pr (0.3158, 0.0697, 0.5000)
Pr (0.3626, 0.7982, 0.0000)
Pr (0.5000, 0.5000, 0.0000)
Pr (0.6374, 0.2018, 0.0000)
Pr (0.6842, 0.9303, 0.5000)
Pr (0.8158, 0.4303, 0.5000)
Pr (0.8626, 0.7018, 0.0000)
In (0.0755, 0.8316, 0.5000)
In (0.4245, 0.3316, 0.5000)
In (0.5755, 0.6684, 0.5000)
In (0.9245, 0.1684, 0.5000)
Ru (0.0000, 0.5000, 0.0000)
Ru (0.5000, 0.0000, 0.0000)

---

b (164 meV per atom below the next structure)

---

a | A relaxed structure of Pr2InRu. Source: Alexandria, functional PBE.

Results
Symmetry: Fm-3m, No. 225
Size of the total moment in μB per cell: 0.00
ρ in Mg/m³: 7.983

Cell: 7.4538 7.4538 7.4538 Å, 90.00 90.00 90.00°
Element x y z (fractional)
Pr (0.2500, 0.2500, 0.2500)
Pr (0.2500, 0.2500, 0.7500)
Pr (0.2500, 0.7500, 0.2500)
Pr (0.2500, 0.7500, 0.7500)
Pr (0.7500, 0.2500, 0.2500)
Pr (0.7500, 0.2500, 0.7500)
Pr (0.7500, 0.7500, 0.2500)
Pr (0.7500, 0.7500, 0.7500)
In (0.0000, 0.0000, 0.0000)
In (0.0000, 0.5000, 0.5000)
In (0.5000, 0.0000, 0.5000)
In (0.5000, 0.5000, 0.0000)
Ru (0.0000, 0.0000, 0.5000)
Ru (0.0000, 0.5000, 0.0000)
Ru (0.5000, 0.0000, 0.0000)
Ru (0.5000, 0.5000, 0.5000)

---

b | A relaxed structure of Pr2InRu. Source: Alexandria, functional PBE.

Results
Symmetry: R-3m, No. 166
Size of the total moment in μB per cell: 0.00
ρ in Mg/m³: 7.004

Cell: 4.0039 4.0039 25.4984 Å, 90.00 90.00 120.00°
Element x y z (fractional)
Pr (0.0000, 0.0000, 0.2322)
Pr (0.0000, 0.0000, 0.7678)
Pr (0.3333, 0.6667, 0.4345)
Pr (0.3333, 0.6667, 0.8988)
Pr (0.6667, 0.3333, 0.1012)
Pr (0.6667, 0.3333, 0.5655)
In (0.0000, 0.0000, 0.0000)
In (0.3333, 0.6667, 0.6667)
In (0.6667, 0.3333, 0.3333)
Ru (0.0000, 0.0000, 0.5000)
Ru (0.3333, 0.6667, 0.1667)
Ru (0.6667, 0.3333, 0.8333)

---

a (56 meV per atom below the next structure)

---

a | A relaxed structure of Pr2InRu. Source: Alexandria, functional PBE.

Results
Symmetry: P4/mmm, No. 123
Size of the total moment in μB per cell: 0.00
ρ in Mg/m³: 7.812

Cell: 3.4823 3.4823 8.7242 Å, 90.00 90.00 90.00°
Element x y z (fractional)
Pr (0.0000, 0.0000, 0.2037)
Pr (0.0000, 0.0000, 0.7963)
In (0.5000, 0.5000, 0.5000)
Ru (0.5000, 0.5000, 0.0000)

---

b | A relaxed structure of Pr2InRu. Source: Alexandria, functional PBE.

Results
Symmetry: P4/mmm, No. 123
Size of the total moment in μB per cell: 0.00
ρ in Mg/m³: 8.048

Cell: 5.0889 5.0889 3.9654 Å, 90.00 90.00 90.00°
Element x y z (fractional)
Pr (0.0000, 0.5000, 0.0000)
Pr (0.5000, 0.0000, 0.0000)
In (0.0000, 0.0000, 0.5000)
Ru (0.5000, 0.5000, 0.5000)

---

c | A relaxed structure of Pr2InRu. Source: Alexandria, functional PBE.

Results
Symmetry: Immm, No. 71
Size of the total moment in μB per cell: 0.00
ρ in Mg/m³: 7.029

Cell: 4.2383 5.3057 10.4580 Å, 90.00 90.00 90.00°
Element x y z (fractional)
Pr (0.0000, 0.0000, 0.1708)
Pr (0.0000, 0.0000, 0.8292)
Pr (0.5000, 0.5000, 0.3292)
Pr (0.5000, 0.5000, 0.6708)
In (0.0000, 0.0000, 0.5000)
In (0.5000, 0.5000, 0.0000)
Ru (0.0000, 0.5000, 0.5000)
Ru (0.5000, 0.0000, 0.0000)

---

a (27 meV per atom below the next structure)

---

a | A relaxed structure of Pr6InRu2. Source: Alexandria, functional PBE.

Results
Symmetry: Immm, No. 71
Size of the total moment in μB per cell: 0.00
ρ in Mg/m³: 7.338

Cell: 8.8244 8.8244 8.8244 Å, 112.90 110.94 104.69°
Element x y z (fractional)
Pr (0.0343, 0.2375, 0.7968)
Pr (0.1831, 0.2866, 0.4696)
Pr (0.1831, 0.7134, 0.8965)
Pr (0.3276, 0.0148, 0.6872)
Pr (0.3276, 0.6404, 0.3128)
Pr (0.4407, 0.2375, 0.2032)
Pr (0.5593, 0.7625, 0.7968)
Pr (0.6724, 0.3596, 0.6872)
Pr (0.6724, 0.9852, 0.3128)
Pr (0.8169, 0.2866, 0.1035)
Pr (0.8169, 0.7134, 0.5304)
Pr (0.9657, 0.7625, 0.2032)
In (0.0000, 0.0000, 0.0000)
In (0.5000, 0.5000, 0.0000)
Ru (0.1244, 0.6244, 0.5000)
Ru (0.3215, 0.0000, 0.3215)
Ru (0.6785, 0.0000, 0.6785)
Ru (0.8756, 0.3756, 0.5000)

---

b | A relaxed structure of Pr6InRu2. Source: Alexandria, functional PBE.

Results
Symmetry: C2/m, No. 12
Size of the total moment in μB per cell: 0.00
ρ in Mg/m³: 6.643

Cell: 6.1311 6.1311 12.1229 Å, 99.18 99.18 40.32°
Element x y z (fractional)
Pr (0.0297, 0.0297, 0.2804)
Pr (0.2857, 0.2857, 0.8813)
Pr (0.3452, 0.3452, 0.4255)
Pr (0.6548, 0.6548, 0.5745)
Pr (0.7143, 0.7143, 0.1187)
Pr (0.9703, 0.9703, 0.7196)
In (0.0000, 0.0000, 0.0000)
Ru (0.3107, 0.3107, 0.6618)
Ru (0.6893, 0.6893, 0.3382)

---

a (103 meV per atom below the next structure)

---

a | A relaxed structure of PrInSb2. Source: Alexandria, functional PBE.

Results
Symmetry: R3m, No. 160
Size of the total moment in μB per cell: 0.00
ρ in Mg/m³: 6.360

Cell: 4.6128 4.6128 21.2225 Å, 90.00 90.00 120.00°
Element x y z (fractional)
Pr (0.0000, 0.0000, 0.0000)
Pr (0.3333, 0.6667, 0.6667)
Pr (0.6667, 0.3333, 0.3333)
In (0.0000, 0.0000, 0.1698)
In (0.3333, 0.6667, 0.8365)
In (0.6667, 0.3333, 0.5032)
Sb (0.0000, 0.0000, 0.4148)
Sb (0.0000, 0.0000, 0.5800)
Sb (0.3333, 0.6667, 0.0815)
Sb (0.3333, 0.6667, 0.2466)
Sb (0.6667, 0.3333, 0.7481)
Sb (0.6667, 0.3333, 0.9133)

---

b | A relaxed structure of PrInSb2. Source: Alexandria, functional PBE.

Results
Symmetry: P4/mmm, No. 123
Size of the total moment in μB per cell: 0.00
ρ in Mg/m³: 7.425

Cell: 5.0171 5.0171 4.4354 Å, 90.00 90.00 90.00°
Element x y z (fractional)
Pr (0.0000, 0.0000, 0.0000)
In (0.5000, 0.5000, 0.0000)
Sb (0.0000, 0.5000, 0.5000)
Sb (0.5000, 0.0000, 0.5000)

---

b (161 meV per atom below the next structure)